# MgSbBr2 GGA-PBE relaxed
data_MgSbBr2
_cell_length_a 5.090
_cell_length_b 5.569
_cell_length_c 5.107
_cell_angle_alpha 66.81
_cell_angle_beta 81.85
_cell_angle_gamma 113.08
_symmetry_space_group_name_H-M 'P 1'
_symmetry_Int_Tables_number 1
loop_
_symmetry_equiv_pos_as_xyz
'x,y,z'
loop_
_atom_site_label
_atom_site_type_symbol
_atom_site_fract_x
_atom_site_fract_y
_atom_site_fract_z
Br1 Br 0.000 0.000 0.000
Br2 Br 0.500 0.000 0.500
Mg1 Mg 0.000 0.500 0.500
Sb1 Sb 0.500 0.500 0.000
# - Energy above the most stable polymorph in this dataset: 407 meV/atom
# - V: 28.67 A^3/atom
# - Symmetry: C2/m (12)
# - ΔE_f (raw): -0.356 eV/atom